# Y5Cu

A relaxed structure of Y5Cu (PBE-GGA, Alexandria via LeMat-Bulk).

- magnetic moment (μB/f.u.) = 0.0
- formation energy (eV/atom) = 0.128
- space group = P-62m, No. 189
- density of states at the Fermi level (states/eV/f.u.) = 8.397

Cell: 6.100 6.100 5.278 Å, 90.00 90.00 120.00°
Positions (direct):
Y 0.694 0.000 0.000
Y 0.306 0.306 0.000
Y 0.000 0.694 0.000
Y 0.667 0.333 0.500
Y 0.333 0.667 0.500
Cu 0.000 0.000 0.500